[1]
Here is a geometry-optimized CaNdPd2 structure from Alexandria via LeMat-Bulk. Energies are from GGA-PBE.

Results
Crystal system ... tetragonal
Calculated volume ... 92.13 Å³ per cell
SG ... P4/mmm
Formation energy ... -0.7416 eV per atom
Polymorph energy (0 for the lowest one) ... 0.0 meV per atom
E_tot ... -5.03 eV per atom

Unit cell a=3.593 b=3.593 c=7.139 alpha=90.00 beta=90.00 gamma=90.00
Positions (direct):
Ca: 0.000 0.000 0.000
Nd: 0.000 0.000 0.500
Pd: 0.500 0.500 0.259
Pd: 0.500 0.500 0.741

[2]
Here is a geometry-optimized BeRu2Br structure from Alexandria via LeMat-Bulk. Energies are from GGA-PBE.

Results
Crystal system ... tetragonal
Formation energy (no corrections) ... 628 meV per atom
Calculated volume ... 54.06 Å³ per cell
SG ... P4/mmm
Polymorph energy (0 for the lowest one) ... 306.9 meV per atom
E_tot ... -5.36 eV per atom

Unit cell a=4.249 b=4.249 c=2.995 alpha=90.00 beta=90.00 gamma=90.00
Positions (direct):
Be: 0.000 0.000 0.000
Ru: 0.000 0.500 0.500
Ru: 0.500 0.000 0.500
Br: 0.500 0.500 0.000

[3]
Here is a geometry-optimized Ba4Au3 structure from Alexandria via LeMat-Bulk. Energies are from GGA-PBE.

Results
Crystal system ... monoclinic
Calculated volume ... 304.31 Å³ per cell
SG ... C2/m
Formation energy ... -0.6190 eV per atom
Polymorph energy (0 for the lowest one) ... 0.0 meV per atom
E_tot ... -3.12 eV per atom

Unit cell a=8.994 b=8.994 c=8.277 alpha=117.37 beta=117.37 gamma=31.15
Positions (direct):
Ba: 0.128 0.128 0.468
Ba: 0.370 0.370 0.041
Ba: 0.630 0.630 0.959
Ba: 0.872 0.872 0.532
Au: 0.246 0.246 0.246
Au: 0.500 0.500 0.500
Au: 0.754 0.754 0.754

[4]
Here is a geometry-optimized Sc2CuHgBi structure from Alexandria via LeMat-Bulk. Energies are from GGA-PBE.

Results
Crystal system ... tetragonal
Calculated volume ... 135.36 Å³ per cell
SG ... P4/mmm
Formation energy ... 0.2307 eV per atom
E_tot ... -3.96 eV per atom

Unit cell a=5.318 b=5.318 c=4.787 alpha=90.00 beta=90.00 gamma=90.00
Positions (direct):
Sc: 0.000 0.500 0.000
Sc: 0.500 0.000 0.000
Cu: 0.000 0.000 0.500
Hg: 0.000 0.000 0.000
Bi: 0.500 0.500 0.500